Compound: Ho3URu4
Source: Alexandria
Functional: GGA-PBE
Structure: optimized geometry

Cell: 6.755 6.755 6.755 Å, 90.00 90.00 90.00°
Space group Im-3m (No. 229)
Symmetry-distinct sites (fractional):
Ho (0.000, 0.000, 0.500)
U (0.000, 0.000, 0.000)
Ru (0.250, 0.250, 0.250)

## Properties
DOS at the Fermi energy (states/eV/f.u.): 6.9
Formation energy (kJ/mol of atoms): -35
Calculated volume (A^3/atom): 19.27
Polymorph energy (0 for the lowest one) (eV/atom): 0.000
E (Ha/atom): -0.2987
ρ (g/cm³): 12.3